# NbRhSe2 PBE optimized geometry
data_NbRhSe2
_space_group_name_H-M_alt 'R -3 m'
_space_group_IT_number 166
_space_group_name_Hall '-R 3 2"'
_cell_length_a 3.2775
_cell_length_b 3.2775
_cell_length_c 25.0561
_cell_angle_alpha 90.00
_cell_angle_beta 90.00
_cell_angle_gamma 120.00
loop_
_atom_site_label
_atom_site_type_symbol
_atom_site_fract_x
_atom_site_fract_y
_atom_site_fract_z
_atom_site_occupancy
Nb1 Nb 0.0000 0.0000 0.0000 1
Rh1 Rh 0.0000 0.0000 0.5000 1
Se1 Se 0.0000 0.0000 0.4047 1
# E_form (uncorrected) in eV/atom: -0.30
# Total moment in μB per cell: 0.00
# D(E_F) in states/eV per atom: 1.1074

---

# Zr2TeIr PBE optimized geometry
data_Zr2TeIr
_space_group_name_H-M_alt 'P 4/m m m'
_space_group_IT_number 123
_space_group_name_Hall '-P 4 2'
_cell_length_a 4.3478
_cell_length_b 4.3478
_cell_length_c 4.2144
_cell_angle_alpha 90.00
_cell_angle_beta 90.00
_cell_angle_gamma 90.00
loop_
_atom_site_label
_atom_site_type_symbol
_atom_site_fract_x
_atom_site_fract_y
_atom_site_fract_z
_atom_site_occupancy
Zr1 Zr 0.0000 0.5000 0.0000 1
Te1 Te 0.0000 0.0000 0.5000 1
Ir1 Ir 0.5000 0.5000 0.5000 1
# E_form (uncorrected) in eV/atom: -0.39
# Total moment in μB per cell: 0.00
# D(E_F) in states/eV per atom: 0.7749

---

# LiAgMo2 PBE optimized geometry
data_LiAgMo2
_space_group_name_H-M_alt 'P 4/m m m'
_space_group_IT_number 123
_space_group_name_Hall '-P 4 2'
_cell_length_a 3.4699
_cell_length_b 3.4699
_cell_length_c 5.2281
_cell_angle_alpha 90.00
_cell_angle_beta 90.00
_cell_angle_gamma 90.00
loop_
_atom_site_label
_atom_site_type_symbol
_atom_site_fract_x
_atom_site_fract_y
_atom_site_fract_z
_atom_site_occupancy
Li1 Li 0.0000 0.0000 0.0000 1
Ag1 Ag 0.0000 0.0000 0.5000 1
Mo1 Mo 0.5000 0.5000 0.2139 1
# Energy of formation from the pure elements in eV/atom: 0.641
# Total moment in μB per cell: 0.00
# D(E_F) in states/eV per atom: 0.9734

---

# BiRu2Se PBE optimized geometry
data_BiRu2Se
_space_group_name_H-M_alt 'F m -3 m'
_space_group_IT_number 225
_space_group_name_Hall '-F 4 2 3'
_cell_length_a 6.5584
_cell_length_b 6.5584
_cell_length_c 6.5584
_cell_angle_alpha 90.00
_cell_angle_beta 90.00
_cell_angle_gamma 90.00
loop_
_atom_site_label
_atom_site_type_symbol
_atom_site_fract_x
_atom_site_fract_y
_atom_site_fract_z
_atom_site_occupancy
Bi1 Bi 0.0000 0.0000 0.0000 1
Ru1 Ru 0.2500 0.2500 0.2500 1
Se1 Se 0.0000 0.0000 0.5000 1
# E_form (uncorrected) in eV/atom: 0.48
# Total moment in μB per cell: 3.67
# D(E_F) in states/eV per atom: 1.4980

---

> total moment of number 3 (LiAgMo2)?

0.00 μB per cell

---

> Which value of D(E_F) does entry 2 give?

0.7749 states/eV per atom